A relaxed structure of KMgPH12O10, computed with GGA-PBE.

Lattice parameters (Å, degrees): 6.9341 6.1476 11.2127 90.00 90.00 90.00
Space group Pmn2_1 (No. 31)
Unique sites:
K1 0.0000 0.1214 0.0000 x2
Mg1 0.0000 0.1306 0.6500 x2
P1 0.0000 0.4922 0.2764 x2
H1 0.0000 0.6803 0.6148 x2
H2 0.0000 0.7761 0.4816 x2
H3 0.1180 0.5158 0.7672 x4
H4 0.1755 0.6645 0.0791 x4
H5 0.1790 0.8719 0.2950 x4
H6 0.2053 0.2937 0.4581 x4
H7 0.2492 0.1204 0.2849 x4
O1 0.0000 0.4556 0.7257 x2
O2 0.0000 0.5104 0.1385 x2
O3 0.0000 0.7242 0.3341 x2
O4 0.0000 0.8174 0.5683 x2
O5 0.1849 0.3708 0.3191 x4
O6 0.2057 0.0338 0.7754 x4
O7 0.2293 0.2335 0.5404 x4

Results
Its total magnetic moment is 0.07 μB/f.u. Its final energy is -5.3930 eV per atom.